Material: TePtAu4
Method: DFT, GGA-PBE
State: relaxed

Computed properties:
E_tot = -81.89 eV/cell
Formation energy (no corrections) = 29.2 kJ per mole of atoms
Spin magnetization = 0.000 μB per atom

abc: 7.817 7.817 7.817
angles: 90.00 90.00 90.00
Space group F-43m (No. 216)
Asymmetric unit:
Te 0.000 0.000 0.000
Pt 0.250 0.250 0.250
Au 0.125 0.125 0.625